1.
A PBEsol-optimized structure of AlTlCr, computed with SCAN.

Cell and atoms, written as extended XYZ:
```
3
Lattice="0.000 3.171 3.171 3.171 0.000 3.171 3.171 3.171 0.000" Properties=species:S:1:pos:R:3 pbc="T T T"
Al 0.000 0.000 0.000
Tl 1.586 1.586 1.586
Cr 3.171 3.171 3.171
```

As for the calculated total energy: -32.512 eV per atom. The space-group type is F-43m. The value obtained for the formation energy is 320 meV/atom. The crystal system is cubic.

---

2.
A PBEsol-optimized structure of AlTlCr2, computed with SCAN.

Cell and atoms, written as extended XYZ:
```
4
Lattice="3.124 0.000 0.000 0.000 3.124 0.000 0.000 0.000 6.428" Properties=species:S:1:pos:R:3 pbc="T T T"
Al 0.000 0.000 0.000
Tl 0.000 0.000 3.214
Cr 1.562 1.562 1.455
Cr 1.562 1.562 4.973
```

As for the calculated total energy: -29.026 eV per atom. The space-group type is P4/mmm. The value obtained for the formation energy is 194 meV/atom. The crystal system is tetragonal.

---

3.
A PBEsol-optimized structure of AlTlCr2, computed with SCAN.

Cell and atoms, written as extended XYZ:
```
4
Lattice="4.206 0.000 0.000 0.000 4.206 0.000 0.000 0.000 3.632" Properties=species:S:1:pos:R:3 pbc="T T T"
Al 0.000 0.000 0.000
Tl 2.103 2.103 0.000
Cr 0.000 2.103 1.816
Cr 2.103 0.000 1.816
```

As for the calculated total energy: -29.019 eV per atom. The space-group type is P4/mmm. The value obtained for the formation energy is 201 meV/atom. The crystal system is tetragonal.

---

4.
A PBEsol-optimized structure of Al3TlCr, computed with SCAN.

Cell and atoms, written as extended XYZ:
```
5
Lattice="5.162 0.000 0.000 0.000 5.162 0.000 0.000 0.000 5.162" Properties=species:S:1:pos:R:3 pbc="T T T"
Al 0.000 0.000 2.581
Al 0.000 2.581 0.000
Al 2.581 0.000 0.000
Tl 0.000 0.000 0.000
Cr 2.581 2.581 2.581
```

As for the calculated total energy: -21.648 eV per atom. The space-group type is Pm-3m. The value obtained for the formation energy is 1152 meV/atom. The crystal system is cubic.

---

5.
A PBEsol-optimized structure of TmAl8Cr4, computed with SCAN.

Cell and atoms, written as extended XYZ:
```
13
Lattice="-4.397 4.397 2.502 4.397 -4.397 2.502 4.397 4.397 -2.502" Properties=species:S:1:pos:R:3 pbc="T T T"
Tm 0.000 0.000 0.000
Al 2.943 0.000 0.000
Al 5.851 0.000 0.000
Al 4.397 2.458 0.000
Al 0.000 2.943 0.000
Al 2.458 4.397 0.000
Al 1.939 0.000 2.502
Al 0.000 5.851 0.000
Al 0.000 1.939 2.502
Cr 2.198 2.198 -1.251
Cr 2.198 -2.198 1.251
Cr -2.198 2.198 1.251
Cr 2.198 2.198 1.251
```

As for the calculated total energy: -14.663 eV per atom. The space-group type is I4/mmm. The value obtained for the formation energy is -249 meV/atom. The crystal system is tetragonal.

---

6.
A PBEsol-optimized structure of TmAl6Cr6, computed with SCAN.

Cell and atoms, written as extended XYZ:
```
13
Lattice="-2.492 4.282 4.349 2.492 -4.282 4.349 2.492 4.282 -4.349" Properties=species:S:1:pos:R:3 pbc="T T T"
Tm 0.000 0.000 0.000
Al 2.492 1.617 0.000
Al 0.000 0.000 2.878
Al 0.000 2.955 0.000
Al 0.000 5.608 0.000
Al 0.000 0.000 5.819
Al 0.000 2.665 4.349
Cr 1.246 2.141 -2.174
Cr 1.246 -2.141 2.174
Cr 2.492 0.000 2.102
Cr -1.246 2.141 2.174
Cr 1.246 2.141 2.174
Cr 0.000 4.282 2.247
```

As for the calculated total energy: -16.227 eV per atom. The space-group type is Immm. The value obtained for the formation energy is -177 meV/atom. The crystal system is orthorhombic.

---

7.
A PBEsol-optimized structure of UAl20Cr2, computed with SCAN.

Cell and atoms, written as extended XYZ:
```
46
Lattice="0.000 7.131 7.131 7.131 0.000 7.131 7.131 7.131 0.000" Properties=species:S:1:pos:R:3 pbc="T T T"
U 1.783 1.783 1.783
U 12.479 12.479 12.479
Al 0.000 0.000 0.000
Al 3.565 3.565 0.000
Al 3.565 0.000 3.565
Al 4.635 2.724 2.724
Al 7.972 6.061 2.724
Al 7.972 2.724 6.061
Al 9.627 6.289 6.289
Al 11.537 8.200 6.289
Al 11.537 6.289 8.200
Al 5.348 5.348 3.406
Al 5.348 3.406 5.348
Al 7.290 5.348 5.348
Al 2.724 4.635 2.724
Al 6.061 7.972 2.724
Al 2.724 2.724 4.635
Al 7.972 7.972 4.635
Al 6.061 2.724 7.972
Al 7.972 4.635 7.972
Al 8.913 8.913 6.971
Al 8.913 6.971 8.913
Al 10.856 8.913 8.913
Al 0.000 3.565 3.565
Al 3.406 5.348 5.348
Al 5.348 7.290 5.348
Al 5.348 5.348 7.290
Al 6.289 9.627 6.289
Al 8.200 11.537 6.289
Al 6.289 6.289 9.627
Al 11.537 11.537 9.627
Al 8.200 6.289 11.537
Al 11.537 9.627 11.537
Al 6.971 8.913 8.913
Al 8.913 10.856 8.913
Al 8.913 8.913 10.856
Al 2.724 7.972 6.061
Al 2.724 6.061 7.972
Al 4.635 7.972 7.972
Al 6.289 11.537 8.200
Al 6.289 8.200 11.537
Al 9.627 11.537 11.537
Cr 7.131 3.565 3.565
Cr 3.565 7.131 3.565
Cr 3.565 3.565 7.131
Cr 7.131 7.131 7.131
```

As for the calculated total energy: -12.990 eV per atom. The space-group type is Fd-3m. The value obtained for the formation energy is -149 meV/atom. The crystal system is cubic.

---

8.
A PBEsol-optimized structure of AlCrW2, computed with SCAN.

Cell and atoms, written as extended XYZ:
```
4
Lattice="-1.545 2.159 4.287 1.545 -2.159 4.287 1.545 2.159 -4.287" Properties=species:S:1:pos:R:3 pbc="T T T"
Al 0.000 0.000 0.000
Cr 0.000 0.000 4.287
W 1.545 0.000 2.251
W 0.000 2.159 2.036
```

As for the calculated total energy: -41.445 eV per atom. The space-group type is Immm. The value obtained for the formation energy is -67 meV/atom. The crystal system is orthorhombic.

---

9.
A PBEsol-optimized structure of Al2CrW, computed with SCAN.

Cell and atoms, written as extended XYZ:
```
4
Lattice="3.103 0.000 0.000 0.000 3.103 0.000 0.000 0.000 5.819" Properties=species:S:1:pos:R:3 pbc="T T T"
Al 0.000 0.000 0.000
Al 1.551 1.551 1.560
Cr 0.000 0.000 2.976
W 1.551 1.551 4.269
```

As for the calculated total energy: -26.029 eV per atom. The space-group type is P4mm. The value obtained for the energy above the lowest structure with this stoichiometry is 0.0 meV per atom. The value obtained for the formation energy is -135 meV/atom. The crystal system is tetragonal.

---

10.
A PBEsol-optimized structure of AlCr2W, computed with SCAN.

Cell and atoms, written as extended XYZ:
```
4
Lattice="4.164 0.000 0.000 0.000 4.164 0.000 0.000 0.000 3.064" Properties=species:S:1:pos:R:3 pbc="T T T"
Al 0.000 0.000 0.000
Cr 0.000 2.082 1.532
Cr 2.082 0.000 1.532
W 2.082 2.082 0.000
```

As for the calculated total energy: -28.718 eV per atom. The space-group type is P4/mmm. The value obtained for the formation energy is -166 meV/atom. The crystal system is tetragonal.

---

11.
A PBEsol-optimized structure of Al2CrW, computed with SCAN.

Cell and atoms, written as extended XYZ:
```
4
Lattice="0.000 3.059 3.059 3.059 0.000 3.059 3.059 3.059 0.000" Properties=species:S:1:pos:R:3 pbc="T T T"
Al 1.530 1.530 1.530
Al 4.589 4.589 4.589
Cr 0.000 0.000 0.000
W 3.059 3.059 3.059
```

As for the calculated total energy: -25.850 eV per atom. The space-group type is Fm-3m. The value obtained for the energy above the lowest structure with this stoichiometry is 179.4 meV per atom. The value obtained for the formation energy is 44 meV/atom. The crystal system is cubic.

---

12.
A PBEsol-optimized structure of AlCr2W, computed with SCAN.

Cell and atoms, written as extended XYZ:
```
4
Lattice="1.334 0.770 8.784 -1.334 0.770 8.784 0.000 -1.540 8.784" Properties=species:S:1:pos:R:3 pbc="T T T"
Al 0.000 0.000 0.000
Cr 0.000 0.000 6.642
Cr 0.000 0.000 19.709
W 0.000 0.000 13.176
```

As for the calculated total energy: -28.153 eV per atom. The space-group type is R-3m. The value obtained for the formation energy is 400 meV/atom. The crystal system is trigonal.

---

Q: Which formula does entry 5 have?
A: TmAl8Cr4

---

Q: Among the records above, which one has the highest calculated total energy?
A: UAl20Cr2

---

Repeat the second record exactly.
A PBEsol-optimized structure of AlTlCr2, computed with SCAN.

Cell and atoms, written as extended XYZ:
```
4
Lattice="3.124 0.000 0.000 0.000 3.124 0.000 0.000 0.000 6.428" Properties=species:S:1:pos:R:3 pbc="T T T"
Al 0.000 0.000 0.000
Tl 0.000 0.000 3.214
Cr 1.562 1.562 1.455
Cr 1.562 1.562 4.973
```

As for the calculated total energy: -29.026 eV per atom. The space-group type is P4/mmm. The value obtained for the formation energy is 194 meV/atom. The crystal system is tetragonal.

---

Q: Which value of calculated total energy does entry 12 give?
A: -28.153 eV per atom